# 1
VASP calculation (PBE-GGA) on a relaxed Ac2TbHo5 crystal.

The structure in extended XYZ format:
```
8
Lattice="-2.6110 2.6110 10.0401 2.6110 -2.6110 10.0401 2.6110 2.6110 -10.0401" Properties=species:S:1:pos:R:3 pbc="T T T"
Ac 0.0000 0.0000 5.0246
Ac 0.0000 0.0000 15.0557
Tb 0.0000 0.0000 0.0000
Ho 2.6110 0.0000 2.3694
Ho 2.6110 0.0000 7.6707
Ho 0.0000 0.0000 10.0401
Ho 0.0000 2.6110 2.3694
Ho 0.0000 2.6110 7.6707
```

E in eV for the cell shown: -35.241

=====

# 2
VASP calculation (PBE-GGA) on a relaxed AcTb5Ho7 crystal.

The structure in extended XYZ format:
```
13
Lattice="-3.3197 5.6276 5.8174 3.3197 -5.6276 5.8174 3.3197 5.6276 -5.8174" Properties=species:S:1:pos:R:3 pbc="T T T"
Ac 0.0000 0.0000 0.0000
Tb 1.5751 2.6327 2.4282
Tb 5.0642 2.6327 2.4282
Tb 0.0000 5.6276 2.5585
Tb -1.7446 2.9949 8.2456
Tb 1.7446 2.9949 8.2456
Ho 3.3197 1.9797 -0.4619
Ho 3.3197 0.0000 2.4851
Ho 3.3197 -1.8101 5.3639
Ho 0.0000 0.0000 4.5644
Ho 3.3197 1.8101 5.3639
Ho 0.0000 0.0000 8.0095
Ho 0.0000 3.6479 5.3555
```

E in eV for the cell shown: -56.163

=====

# 3
VASP calculation (PBE-GGA) on a relaxed AcTbHo4 crystal.

The structure in extended XYZ format:
```
12
Lattice="5.3430 -6.6573 0.0000 5.3430 6.6573 0.0000 -3.6063 0.0000 5.6266" Properties=species:S:1:pos:R:3 pbc="T T T"
Ac 2.6382 5.6702 4.2199
Ac 4.4414 -5.6702 1.4066
Tb 4.4414 4.1103 1.4066
Tb 2.6382 -4.1103 4.2199
Ho 0.8615 2.4491 4.2452
Ho 2.7198 1.0377 1.4345
Ho 0.9167 -1.0377 4.2478
Ho 4.4149 2.4491 4.1947
Ho 2.6647 -2.4491 1.4319
Ho 6.1629 1.0377 1.3788
Ho 4.3598 -1.0377 4.1921
Ho 6.2181 -2.4491 1.3814
```

E in eV for the cell shown: -53.368

=====

# 4
VASP calculation (PBE-GGA) on a relaxed Ac2TbHo crystal.

The structure in extended XYZ format:
```
4
Lattice="0.0000 4.2308 4.2308 4.2308 0.0000 4.2308 4.2308 4.2308 0.0000" Properties=species:S:1:pos:R:3 pbc="T T T"
Ac 2.1154 2.1154 2.1154
Ac 6.3462 6.3462 6.3462
Tb 0.0000 0.0000 0.0000
Ho 4.2308 4.2308 4.2308
```

E in eV for the cell shown: -17.042

=====

# 5
VASP calculation (PBE-GGA) on a relaxed AcTb6Ho12 crystal.

The structure in extended XYZ format:
```
19
Lattice="5.9617 3.4420 5.0577 -5.9617 3.4420 5.0577 0.0000 -6.8839 5.0577" Properties=species:S:1:pos:R:3 pbc="T T T"
Ac 0.0000 0.0000 0.0000
Tb -0.9998 -3.4844 5.1981
Tb -2.5176 2.6081 5.1981
Tb -3.5175 -0.8763 9.9752
Tb 3.5175 0.8763 5.1981
Tb 2.5177 -2.6081 9.9752
Tb 0.9998 3.4844 9.9752
Ho -2.0692 -0.2526 2.9326
Ho 1.2533 -1.6656 2.9326
Ho -2.0007 -0.3779 6.3168
Ho 0.8158 1.9182 2.9326
Ho -0.6730 -1.9216 8.8564
Ho 1.3277 -1.5437 6.3168
Ho -1.3277 1.5437 8.8564
Ho 0.6730 1.9216 6.3168
Ho -0.8158 -1.9182 12.2407
Ho 2.0007 0.3779 8.8564
Ho -1.2533 1.6657 12.2407
Ho 2.0692 0.2526 12.2407
```

E in eV for the cell shown: -83.722

=====

# 6
VASP calculation (PBE-GGA) on a relaxed AcTb12Ho5 crystal.

The structure in extended XYZ format:
```
18
Lattice="7.5780 -7.5865 0.0000 7.5780 7.5865 0.0000 0.0000 0.0000 5.0440" Properties=species:S:1:pos:R:3 pbc="T T T"
Ac 0.0000 0.0000 0.0000
Tb 10.1345 -5.0221 0.0000
Tb 5.0214 5.0221 0.0000
Tb 5.0713 2.5166 2.5220
Tb 2.5992 0.0000 2.5220
Tb 5.0689 0.0000 0.0000
Tb 10.1345 5.0221 0.0000
Tb 5.0713 -2.5166 2.5220
Tb 10.0846 2.5166 2.5220
Tb 5.0214 -5.0221 0.0000
Tb 10.0870 0.0000 0.0000
Tb 12.5567 0.0000 2.5220
Tb 10.0846 -2.5166 2.5220
Ho 7.5780 4.9844 2.5220
Ho 7.5780 2.5218 0.0000
Ho 7.5780 0.0000 2.5220
Ho 7.5780 -2.5218 0.0000
Ho 7.5780 -4.9844 2.5220
```

E in eV for the cell shown: -82.052

=====

# 7
VASP calculation (PBE-GGA) on a relaxed AcTb6Ho5 crystal.

The structure in extended XYZ format:
```
12
Lattice="3.1004 -5.3645 0.0000 3.1004 5.3645 0.0000 -2.0522 0.0000 11.6880" Properties=species:S:1:pos:R:3 pbc="T T T"
Ac 0.0000 0.0000 0.0000
Tb 1.0463 1.8049 2.9770
Tb 0.0321 0.0000 8.7094
Tb 1.0463 -1.8049 2.9770
Tb 3.1023 1.8049 8.7110
Tb 4.1165 0.0000 2.9786
Tb 3.1023 -1.8049 8.7110
Ho 2.0743 3.5715 5.8440
Ho 3.1004 1.7870 0.0000
Ho 2.0743 0.0000 5.8440
Ho 3.1004 -1.7870 0.0000
Ho 2.0743 -3.5715 5.8440
```

E in eV for the cell shown: -54.405

=====

# 8
VASP calculation (PBE-GGA) on a relaxed Ac2Tb2Ho crystal.

The structure in extended XYZ format:
```
5
Lattice="-2.4516 2.4516 8.2422 2.4516 -2.4516 8.2422 2.4516 2.4516 -8.2422" Properties=species:S:1:pos:R:3 pbc="T T T"
Ac 2.4516 0.0000 4.1211
Ac 0.0000 2.4516 4.1211
Tb 0.0000 0.0000 1.5095
Tb 0.0000 0.0000 14.9749
Ho 0.0000 0.0000 8.2422
```

E in eV for the cell shown: -19.559

=====

# 9
VASP calculation (PBE-GGA) on a relaxed AcTb6Ho3 crystal.

The structure in extended XYZ format:
```
10
Lattice="4.9248 2.8433 4.0390 -4.9248 2.8433 4.0390 0.0000 -5.6866 4.0390" Properties=species:S:1:pos:R:3 pbc="T T T"
Ac 0.0000 0.0000 0.0000
Tb -1.7021 -2.7386 4.0390
Tb -3.2952 0.0000 6.0585
Tb -1.5206 2.8433 4.0390
Tb 1.6476 -2.8537 6.0585
Tb 3.2227 -0.1047 4.0390
Tb 1.6476 2.8537 6.0585
Ho 0.0000 0.0000 3.1693
Ho 0.0000 0.0000 6.0585
Ho 0.0000 0.0000 8.9477
```

E in eV for the cell shown: -42.565

=====

# 10
VASP calculation (PBE-GGA) on a relaxed AcTb6Ho6 crystal.

The structure in extended XYZ format:
```
13
Lattice="6.6601 0.0000 0.0000 -3.3300 5.7678 0.0000 0.0000 0.0000 11.4908" Properties=species:S:1:pos:R:3 pbc="T T T"
Ac 0.0000 0.0000 0.0000
Tb 0.0000 0.0000 4.0702
Tb 0.0000 0.0000 7.4206
Tb 0.0000 3.8452 0.0000
Tb 0.0000 3.8452 5.7454
Tb 3.3300 1.9226 0.0000
Tb 3.3300 1.9226 5.7454
Ho -1.6650 2.8839 2.8428
Ho -1.6650 2.8839 8.6480
Ho 3.3300 0.0000 2.8428
Ho 3.3300 0.0000 8.6480
Ho 1.6650 2.8839 2.8428
Ho 1.6650 2.8839 8.6480
```

E in eV for the cell shown: -55.989

=====

# 11
VASP calculation (PBE-GGA) on a relaxed AcTb3Ho crystal.

The structure in extended XYZ format:
```
10
Lattice="4.9057 0.0000 0.0000 0.0016 8.6014 0.0000 2.4468 3.4514 8.4989" Properties=species:S:1:pos:R:3 pbc="T T T"
Ac 1.2270 2.2079 2.2906
Ac 6.1270 9.8449 6.2083
Tb 1.2251 7.3424 3.2856
Tb 1.2273 5.5640 0.3902
Tb 3.6759 7.0797 5.6944
Tb 3.6782 4.9730 2.8045
Tb 6.1267 6.4887 8.1087
Tb 6.1289 4.7103 5.2133
Ho 3.6743 3.9802 7.4597
Ho 3.6798 8.0725 1.0392
```

E in eV for the cell shown: -43.600

=====

# 12
VASP calculation (PBE-GGA) on a relaxed AcTb7Ho12 crystal.

The structure in extended XYZ format:
```
20
Lattice="-5.6373 5.6373 5.6373 5.6373 -5.6373 5.6373 5.6373 5.6373 -5.6373" Properties=species:S:1:pos:R:3 pbc="T T T"
Ac 0.0000 0.0000 0.0000
Tb 2.8187 2.8187 -2.8187
Tb 2.8187 -2.8187 2.8187
Tb 5.6373 0.0000 0.0000
Tb -2.8187 2.8187 2.8187
Tb 0.0000 5.6373 0.0000
Tb 0.0000 0.0000 5.6373
Tb 2.8187 2.8187 2.8187
Ho 5.6373 2.7037 -2.7037
Ho 5.6373 -2.7037 2.7037
Ho 2.7037 5.6373 -2.7037
Ho 2.9337 2.9337 0.0000
Ho 2.9337 0.0000 2.9337
Ho 2.7037 -2.7037 5.6373
Ho 5.6373 2.7037 2.7037
Ho 0.0000 2.9337 2.9337
Ho -2.7037 5.6373 2.7037
Ho -2.7037 2.7037 5.6373
Ho 2.7037 5.6373 2.7037
Ho 2.7037 2.7037 5.6373
```

E in eV for the cell shown: -77.993

=====

> What is the formula in the eleventh record?

AcTb3Ho

=====

> Number 7 is which compound?

AcTb6Ho5

=====

> What is the E in the first record?

-35.241 eV for the cell shown

=====

What did the third record say?
VASP calculation (PBE-GGA) on a relaxed AcTbHo4 crystal.

The structure in extended XYZ format:
```
12
Lattice="5.3430 -6.6573 0.0000 5.3430 6.6573 0.0000 -3.6063 0.0000 5.6266" Properties=species:S:1:pos:R:3 pbc="T T T"
Ac 2.6382 5.6702 4.2199
Ac 4.4414 -5.6702 1.4066
Tb 4.4414 4.1103 1.4066
Tb 2.6382 -4.1103 4.2199
Ho 0.8615 2.4491 4.2452
Ho 2.7198 1.0377 1.4345
Ho 0.9167 -1.0377 4.2478
Ho 4.4149 2.4491 4.1947
Ho 2.6647 -2.4491 1.4319
Ho 6.1629 1.0377 1.3788
Ho 4.3598 -1.0377 4.1921
Ho 6.2181 -2.4491 1.3814
```

E in eV for the cell shown: -53.368